Record 1
Computed, not measured: a geometry-optimized LaAsBr2N structure at the GGA-PBE level of DFT.

Calculated values
space group = P4/mmm
ΔE to the lowest computed polymorph = 258 meV/atom
formation energy from raw total energies = 266 meV per atom
final energy = -19.919 eV per cell

abc: 5.917 5.917 6.163
angles: 90.00 90.00 90.00
Last column: magnetic moment on the atom in μB.
Atoms (fractional coordinates):
As 0.000 0.000 0.500  0.77
N 0.500 0.500 0.500  1.94
Br 0.000 0.500 0.000  0.04
Br 0.500 0.000 0.000  0.04
La 0.000 0.000 0.000  0.04

Record 2
Computed, not measured: a geometry-optimized La6As2Br3N structure at the GGA-PBE level of DFT.

Calculated values
space group = C2/m
formation energy from raw total energies = -1482 meV per atom
final energy = -69.986 eV per cell

abc: 7.262 7.262 7.715
angles: 98.97 98.97 119.84
Atoms (fractional coordinates):
La 0.934 0.636 0.800
La 0.770 0.770 0.208
La 0.066 0.364 0.200
La 0.636 0.934 0.800
La 0.230 0.230 0.792
La 0.364 0.066 0.200
As 0.335 0.665 0.000
As 0.665 0.335 0.000
Br 0.179 0.821 0.500
Br 0.821 0.179 0.500
Br 0.500 0.500 0.500
N 0.000 0.000 0.000

Record 3
Computed, not measured: a geometry-optimized NaLaAsBr2 structure at the GGA-PBE level of DFT.

Calculated values
space group = P4/mmm
ΔE to the lowest computed polymorph = 0 meV/atom
formation energy from raw total energies = -1022 meV per atom
final energy = -19.351 eV per cell

abc: 5.908 5.908 5.789
angles: 90.00 90.00 90.00
Last column: magnetic moment on the atom in μB.
Atoms (fractional coordinates):
Na 0.500 0.500 0.500  0.00
As 0.000 0.000 0.500  0.24
Br 0.000 0.500 0.000  0.02
Br 0.500 0.000 0.000  0.02
La 0.000 0.000 0.000  0.01

Record 4
Computed, not measured: a geometry-optimized NaLaAsBr2 structure at the GGA-PBE level of DFT.

Calculated values
space group = P4/mmm
ΔE to the lowest computed polymorph = 269 meV/atom
formation energy from raw total energies = -753 meV per atom
final energy = -18.006 eV per cell

abc: 5.056 5.056 5.678
angles: 90.00 90.00 90.00
Last column: magnetic moment on the atom in μB.
Atoms (fractional coordinates):
Na 0.000 0.000 0.000  0.02
As 0.000 0.000 0.500  0.39
Br 0.000 0.500 0.000  0.06
Br 0.500 0.000 0.000  0.06
La 0.500 0.500 0.500  -0.02

Record 5
Computed, not measured: a geometry-optimized LaNbAsBr2 structure at the GGA-PBE level of DFT.

Calculated values
space group = P4/mmm
ΔE to the lowest computed polymorph = 639 meV/atom
formation energy from raw total energies = 177 meV per atom
final energy = -22.107 eV per cell

abc: 5.653 5.653 5.909
angles: 90.00 90.00 90.00
Last column: magnetic moment on the atom in μB.
Atoms (fractional coordinates):
Nb 0.500 0.500 0.500  2.93
As 0.000 0.000 0.500  -0.22
Br 0.000 0.500 0.000  0.00
Br 0.500 0.000 0.000  0.00
La 0.000 0.000 0.000  -0.02

Record 6
Computed, not measured: a geometry-optimized LaNbAsBr2 structure at the GGA-PBE level of DFT.

Calculated values
space group = P4/mmm
ΔE to the lowest computed polymorph = 0 meV/atom
formation energy from raw total energies = -462 meV per atom
final energy = -25.303 eV per cell

abc: 5.098 5.098 5.131
angles: 90.00 90.00 90.00
Last column: magnetic moment on the atom in μB.
Atoms (fractional coordinates):
Nb 0.000 0.000 0.000  0.05
As 0.000 0.000 0.500  0.00
Br 0.000 0.500 0.000  0.00
Br 0.500 0.000 0.000  0.00
La 0.500 0.500 0.500  0.01

Record 7
Computed, not measured: a geometry-optimized LaNdAsBr structure at the GGA-PBE level of DFT.

Calculated values
space group = R3m
formation energy from raw total energies = -1463 meV per atom
final energy = -21.869 eV per cell

abc: 4.223 4.224 8.004
angles: 90.00 105.28 120.01
Atoms (fractional coordinates):
La 0.494 0.145 0.655
Nd 0.111 0.953 0.079
As 0.309 0.552 0.876
Br 0.964 0.380 0.359

Record 8
Computed, not measured: a geometry-optimized LaNiAs2Br structure at the GGA-PBE level of DFT.

Calculated values
space group = P4/mmm
formation energy from raw total energies = -550 meV per atom
final energy = -24.430 eV per cell

abc: 4.679 4.679 5.060
angles: 90.00 90.00 90.00
Atoms (fractional coordinates):
Ni 0.000 0.000 0.000
As 0.000 0.500 0.000
As 0.500 0.000 0.000
Br 0.000 0.000 0.500
La 0.500 0.500 0.500

Record 9
Computed, not measured: a geometry-optimized LaNiAsBr2 structure at the GGA-PBE level of DFT.

Calculated values
space group = P4/mmm
formation energy from raw total energies = -668 meV per atom
final energy = -22.043 eV per cell

abc: 4.783 4.783 5.113
angles: 90.00 90.00 90.00
Atoms (fractional coordinates):
Ni 0.000 0.000 0.000
As 0.000 0.000 0.500
Br 0.000 0.500 0.000
Br 0.500 0.000 0.000
La 0.500 0.500 0.500

Record 10
Computed, not measured: a geometry-optimized La8NiAs3Br4 structure at the GGA-PBE level of DFT.

Calculated values
space group = R-3m
formation energy from raw total energies = -1353 meV per atom
final energy = -87.493 eV per cell

abc: 8.703 8.818 8.705
angles: 119.59 119.99 90.00
Atoms (fractional coordinates):
La 0.232 0.715 0.984
La 0.232 0.716 0.464
La 0.259 0.278 0.519
La 0.752 0.715 0.984
La 0.248 0.285 0.016
La 0.741 0.722 0.481
La 0.768 0.284 0.536
La 0.768 0.285 0.016
Ni 0.000 0.500 0.000
As 0.500 0.500 0.000
As 0.500 0.500 0.500
As 0.000 0.500 0.500
Br 0.500 0.000 0.000
Br 0.500 0.000 0.500
Br 0.000 0.000 0.000
Br 0.000 0.000 0.500

Record 11
Computed, not measured: a geometry-optimized LaAsBrO4 structure at the GGA-PBE level of DFT.

Calculated values
space group = C2/m
formation energy from raw total energies = -1931 meV per atom
final energy = -89.203 eV per cell

abc: 6.836 6.836 7.084
angles: 80.24 80.24 58.21
Atoms (fractional coordinates):
La 0.296 0.296 0.818
La 0.704 0.704 0.182
As 0.635 0.635 0.744
As 0.365 0.365 0.256
Br 0.016 0.016 0.335
Br 0.984 0.984 0.665
O 0.298 0.298 0.490
O 0.702 0.702 0.510
O 0.121 0.520 0.129
O 0.509 0.509 0.235
O 0.480 0.879 0.871
O 0.520 0.121 0.129
O 0.491 0.491 0.765
O 0.879 0.480 0.871

Record 12
Computed, not measured: a geometry-optimized LaAs2BrO structure at the GGA-PBE level of DFT.

Calculated values
space group = P4/mmm
ΔE to the lowest computed polymorph = 0 meV/atom
formation energy from raw total energies = -749 meV per atom
final energy = -24.605 eV per cell

abc: 4.261 4.261 5.827
angles: 90.00 90.00 90.00
Atoms (fractional coordinates):
As 0.000 0.500 0.000
As 0.500 0.000 0.000
O 0.000 0.000 0.000
Br 0.000 0.000 0.500
La 0.500 0.500 0.500

Record 13
Computed, not measured: a geometry-optimized La3As2BrO7 structure at the GGA-PBE level of DFT.

Calculated values
space group = P4_2/mnm
formation energy from raw total energies = -2615 meV per atom
final energy = -377.836 eV per cell

abc: 5.662 13.139 13.139
angles: 90.00 90.00 90.00
Atoms (fractional coordinates):
La 0.500 0.763 0.237
La 0.500 0.237 0.763
La 0.000 0.263 0.263
La 0.000 0.737 0.737
La 0.500 0.637 0.953
La 0.500 0.363 0.047
La 0.000 0.137 0.547
La 0.000 0.863 0.453
La 0.500 0.953 0.637
La 0.500 0.047 0.363
La 0.000 0.547 0.137
La 0.000 0.453 0.863
As 0.500 0.472 0.289
As 0.500 0.528 0.711
As 0.000 0.972 0.211
As 0.000 0.028 0.789
As 0.500 0.289 0.472
As 0.500 0.711 0.528
As 0.000 0.211 0.972
As 0.000 0.789 0.028
Br 0.500 0.854 0.854
Br 0.500 0.146 0.146
Br 0.000 0.354 0.646
Br 0.000 0.646 0.354
O 0.250 0.500 0.000
O 0.750 0.000 0.500
O 0.750 0.500 0.000
O 0.250 0.000 0.500
O 0.500 0.583 0.211
O 0.500 0.417 0.789
O 0.000 0.083 0.289
O 0.000 0.917 0.711
O 0.500 0.211 0.583
O 0.500 0.789 0.417
O 0.000 0.289 0.083
O 0.000 0.711 0.917
O 0.263 0.408 0.219
O 0.263 0.592 0.781
O 0.763 0.908 0.281
O 0.763 0.092 0.719
O 0.737 0.592 0.781
O 0.737 0.408 0.219
O 0.237 0.092 0.719
O 0.237 0.908 0.281
O 0.263 0.219 0.408
O 0.263 0.781 0.592
O 0.763 0.281 0.908
O 0.763 0.719 0.092
O 0.737 0.781 0.592
O 0.737 0.219 0.408
O 0.237 0.719 0.092
O 0.237 0.281 0.908

Record 14
Computed, not measured: a geometry-optimized LaAs2BrO structure at the GGA-PBE level of DFT.

Calculated values
space group = P4/mmm
ΔE to the lowest computed polymorph = 1274 meV/atom
formation energy from raw total energies = 524 meV per atom
final energy = -18.236 eV per cell

abc: 5.979 5.979 5.862
angles: 90.00 90.00 90.00
Last column: magnetic moment on the atom in μB.
Atoms (fractional coordinates):
As 0.000 0.500 0.000  0.49
As 0.500 0.000 0.000  0.49
O 0.500 0.500 0.500  1.37
Br 0.000 0.000 0.500  0.09
La 0.000 0.000 0.000  0.07

Record 15
Computed, not measured: a geometry-optimized LaAsBr2O structure at the GGA-PBE level of DFT.

Calculated values
space group = P4/mmm
ΔE to the lowest computed polymorph = 0 meV/atom
formation energy from raw total energies = -562 meV per atom
final energy = -20.693 eV per cell

abc: 4.768 4.768 4.738
angles: 90.00 90.00 90.00
Atoms (fractional coordinates):
As 0.000 0.000 0.500
O 0.000 0.000 0.000
Br 0.000 0.500 0.000
Br 0.500 0.000 0.000
La 0.500 0.500 0.500

Record 16
Computed, not measured: a geometry-optimized LaAsBr2O structure at the GGA-PBE level of DFT.

Calculated values
space group = P4/mmm
ΔE to the lowest computed polymorph = 378 meV/atom
formation energy from raw total energies = -184 meV per atom
final energy = -18.803 eV per cell

abc: 5.804 5.804 6.259
angles: 90.00 90.00 90.00
Last column: magnetic moment on the atom in μB.
Atoms (fractional coordinates):
As 0.000 0.000 0.500  0.79
O 0.500 0.500 0.500  -1.31
Br 0.000 0.500 0.000  0.03
Br 0.500 0.000 0.000  0.03
La 0.000 0.000 0.000  0.04

Record 17
Computed, not measured: a geometry-optimized La8AsOs3Br3 structure at the GGA-PBE level of DFT.

Calculated values
space group = R-3m
formation energy from raw total energies = -833 meV per atom
final energy = -95.278 eV per cell

abc: 8.568 8.570 8.979
angles: 118.47 90.00 120.01
Atoms (fractional coordinates):
La 0.264 0.528 0.292
La 0.736 0.472 0.708
La 0.757 0.513 0.298
La 0.243 0.487 0.702
La 0.756 0.041 0.298
La 0.244 0.959 0.702
La 0.284 0.041 0.298
La 0.716 0.959 0.702
As 0.000 0.000 0.500
Os 0.500 0.000 0.500
Os 0.500 0.500 0.500
Os 0.000 0.500 0.500
Br 0.000 0.000 0.000
Br 0.000 0.500 0.000
Br 0.500 0.500 0.000

Record 18
Computed, not measured: a geometry-optimized LaAs2OsBr structure at the GGA-PBE level of DFT.

Calculated values
space group = P4/mmm
ΔE to the lowest computed polymorph = 0 meV/atom
formation energy from raw total energies = -144 meV per atom
final energy = -27.849 eV per cell

abc: 4.797 4.797 5.280
angles: 90.00 90.00 90.00
Atoms (fractional coordinates):
As 0.000 0.500 0.000
As 0.500 0.000 0.000
Os 0.000 0.000 0.000
Br 0.000 0.000 0.500
La 0.500 0.500 0.500

Record 19
Computed, not measured: a geometry-optimized La4AsOsBr2 structure at the GGA-PBE level of DFT.

Calculated values
space group = P2/m
formation energy from raw total energies = -1183 meV per atom
final energy = -48.402 eV per cell

abc: 4.252 7.631 7.915
angles: 106.33 90.00 90.00
Atoms (fractional coordinates):
La 0.500 0.257 0.201
La 0.500 0.743 0.799
La 0.000 0.281 0.796
La 0.000 0.719 0.204
As 0.000 0.000 0.000
Os 0.500 0.500 0.000
Br 0.500 0.000 0.500
Br 0.000 0.500 0.500

Record 20
Computed, not measured: a geometry-optimized LaAs2OsBr structure at the GGA-PBE level of DFT.

Calculated values
space group = P4/mmm
ΔE to the lowest computed polymorph = 1469 meV/atom
formation energy from raw total energies = 1325 meV per atom
final energy = -20.505 eV per cell

abc: 5.747 5.747 5.598
angles: 90.00 90.00 90.00
Last column: magnetic moment on the atom in μB.
Atoms (fractional coordinates):
As 0.000 0.500 0.000  0.00
As 0.500 0.000 0.000  0.00
Os 0.500 0.500 0.500  -3.39
Br 0.000 0.000 0.500  -0.03
La 0.000 0.000 0.000  -0.03

Record 21
Computed, not measured: a geometry-optimized La8AsOs3Br4 structure at the GGA-PBE level of DFT.

Calculated values
space group = R-3m
formation energy from raw total energies = -1004 meV per atom
final energy = -100.518 eV per cell

abc: 8.535 9.196 8.536
angles: 117.68 120.00 90.00
Atoms (fractional coordinates):
La 0.240 0.695 0.955
La 0.240 0.695 0.481
La 0.265 0.295 0.530
La 0.714 0.695 0.955
La 0.286 0.305 0.045
La 0.735 0.705 0.470
La 0.760 0.305 0.519
La 0.760 0.305 0.045
As 0.000 0.500 0.000
Os 0.500 0.500 0.000
Os 0.500 0.500 0.500
Os 0.000 0.500 0.500
Br 0.500 0.000 0.000
Br 0.500 0.000 0.500
Br 0.000 0.000 0.000
Br 0.000 0.000 0.500

Record 22
Computed, not measured: a geometry-optimized LaAs2PBr structure at the GGA-PBE level of DFT.

Calculated values
space group = P4/mmm
ΔE to the lowest computed polymorph = 855 meV/atom
formation energy from raw total energies = 542 meV per atom
final energy = -18.599 eV per cell

abc: 5.975 5.975 5.732
angles: 90.00 90.00 90.00
Last column: magnetic moment on the atom in μB.
Atoms (fractional coordinates):
P 0.500 0.500 0.500  1.01
As 0.000 0.500 0.000  -0.54
As 0.500 0.000 0.000  -0.54
Br 0.000 0.000 0.500  -0.04
La 0.000 0.000 0.000  -0.07

Record 23
Computed, not measured: a geometry-optimized LaAsP2Br structure at the GGA-PBE level of DFT.

Calculated values
space group = P4/mmm
ΔE to the lowest computed polymorph = 0 meV/atom
formation energy from raw total energies = 552 meV per atom
final energy = -19.311 eV per cell

abc: 5.824 5.700 5.824
angles: 90.00 90.00 90.00
Last column: magnetic moment on the atom in μB.
Atoms (fractional coordinates):
P 0.000 0.000 0.500  0.68
P 0.500 0.000 0.000  0.52
As 0.500 0.500 0.500  -0.99
Br 0.000 0.500 0.000  0.02
La 0.000 0.000 0.000  0.09